{"formula": "LuNiTe2", "functional": "PBE", "state": "optimized geometry", "lattice": [[-2.0113, 4.4716, 1.3083], [-1.7225, 0.7243, 4.7181], [2.4990, 3.0763, 3.1692]], "species": ["Lu", "Ni", "Te", "Te"], "frac_coords": [[0.2500, 0.2500, 0.2500], [0.0000, 0.0000, 0.0000], [0.5000, 0.5000, 0.5000], [0.7500, 0.7500, 0.7500]], "total_energy_ev_per_atom": -4.14, "space_group": "No. 216"}

{"formula": "LuTlNiTe3", "functional": "PBE", "state": "optimized geometry", "lattice": [[8.9772, 0.0000, 0.0000], [0.0000, 4.1188, 0.0000], [-4.3197, 0.0000, 10.0497]], "species": ["Lu", "Lu", "Ni", "Ni", "Te", "Te", "Te", "Te", "Te", "Te", "Tl", "Tl"], "frac_coords": [[0.8089, 0.7500, 0.3486], [0.1911, 0.2500, 0.6514], [0.5926, 0.2500, 0.1105], [0.4074, 0.7500, 0.8895], [0.7041, 0.7500, 0.0425], [0.5567, 0.2500, 0.3291], [0.0591, 0.2500, 0.3549], [0.9409, 0.7500, 0.6451], [0.4433, 0.7500, 0.6709], [0.2959, 0.2500, 0.9575], [0.2271, 0.7500, 0.1966], [0.7729, 0.2500, 0.8034]], "total_energy_ev_per_atom": -4.30, "space_group": "No. 11", "polymorph_energy_mev_per_atom": 7.3}

{"formula": "LuTlNiTe3", "functional": "PBE", "state": "optimized geometry", "lattice": [[4.1976, 0.0000, 0.0000], [0.0000, 12.5794, 0.0000], [0.0000, 0.0000, 12.6581]], "species": ["Lu", "Lu", "Lu", "Lu", "Ni", "Ni", "Ni", "Ni", "Te", "Te", "Te", "Te", "Te", "Te", "Te", "Te", "Te", "Te", "Te", "Te", "Tl", "Tl", "Tl", "Tl"], "frac_coords": [[0.2500, 0.4672, 0.1887], [0.2500, 0.9672, 0.3113], [0.7500, 0.0328, 0.6887], [0.7500, 0.5328, 0.8113], [0.7500, 0.7695, 0.1791], [0.7500, 0.2695, 0.3209], [0.2500, 0.7305, 0.6791], [0.2500, 0.2305, 0.8209], [0.7500, 0.5976, 0.0652], [0.7500, 0.9689, 0.1437], [0.2500, 0.2237, 0.2172], [0.2500, 0.7237, 0.2828], [0.7500, 0.4689, 0.3563], [0.7500, 0.0976, 0.4348], [0.2500, 0.9024, 0.5652], [0.2500, 0.5311, 0.6437], [0.7500, 0.2763, 0.7172], [0.7500, 0.7763, 0.7828], [0.2500, 0.0311, 0.8563], [0.2500, 0.4024, 0.9348], [0.2500, 0.8065, 0.0056], [0.2500, 0.3065, 0.4944], [0.7500, 0.6935, 0.5056], [0.7500, 0.1935, 0.9944]], "total_energy_ev_per_atom": -4.23, "space_group": "No. 62", "polymorph_energy_mev_per_atom": 72.0}

{"formula": "LuTlNiTe3", "functional": "PBE", "state": "optimized geometry", "lattice": [[16.1254, 0.0000, 0.0000], [0.0000, 4.1432, 0.0000], [0.0000, 0.0000, 11.0805]], "species": ["Lu", "Lu", "Lu", "Lu", "Ni", "Ni", "Ni", "Ni", "Te", "Te", "Te", "Te", "Te", "Te", "Te", "Te", "Te", "Te", "Te", "Te", "Tl", "Tl", "Tl", "Tl"], "frac_coords": [[0.9787, 0.2500, 0.1612], [0.4787, 0.2500, 0.3388], [0.5213, 0.7500, 0.6612], [0.0213, 0.7500, 0.8388], [0.4885, 0.7500, 0.1080], [0.9885, 0.7500, 0.3920], [0.0115, 0.2500, 0.6080], [0.5115, 0.2500, 0.8920], [0.1036, 0.7500, 0.0796], [0.5776, 0.2500, 0.0988], [0.3603, 0.7500, 0.2411], [0.8603, 0.7500, 0.2589], [0.0776, 0.2500, 0.4012], [0.6036, 0.7500, 0.4204], [0.3964, 0.2500, 0.5796], [0.9224, 0.7500, 0.5988], [0.1397, 0.2500, 0.7411], [0.6397, 0.2500, 0.7589], [0.4224, 0.7500, 0.9012], [0.8964, 0.2500, 0.9204], [0.2660, 0.2500, 0.0265], [0.7660, 0.2500, 0.4735], [0.2340, 0.7500, 0.5265], [0.7340, 0.7500, 0.9735]], "total_energy_ev_per_atom": -4.31, "space_group": "No. 62", "polymorph_energy_mev_per_atom": 0.0}

{"formula": "LuTlNiTe3", "functional": "PBE", "state": "optimized geometry", "lattice": [[8.7499, -2.1589, 0.0000], [8.7499, 2.1589, 0.0000], [-2.1860, 0.0000, 9.3352]], "species": ["Lu", "Lu", "Ni", "Ni", "Te", "Te", "Te", "Te", "Te", "Te", "Tl", "Tl"], "frac_coords": [[0.1727, 0.1727, 0.0850], [0.8273, 0.8273, 0.9150], [0.5000, 0.5000, 0.1807], [0.5000, 0.5000, 0.8193], [0.0000, 0.0000, 0.0000], [0.3478, 0.3478, 0.1446], [0.6482, 0.6482, 0.2862], [0.5000, 0.5000, 0.5000], [0.3518, 0.3518, 0.7138], [0.6522, 0.6522, 0.8554], [0.8563, 0.8563, 0.4364], [0.1437, 0.1437, 0.5636]], "total_energy_ev_per_atom": -4.18, "space_group": "No. 12", "polymorph_energy_mev_per_atom": 129.3}

{"formula": "LuTlNiTe3", "functional": "PBE", "state": "optimized geometry", "lattice": [[-0.4905, 6.7697, -8.4258], [2.5725, -2.4348, -2.1061], [-12.3290, -8.0515, -5.7512]], "species": ["Lu", "Lu", "Lu", "Lu", "Ni", "Ni", "Ni", "Ni", "Te", "Te", "Te", "Te", "Te", "Te", "Te", "Te", "Te", "Te", "Te", "Te", "Tl", "Tl", "Tl", "Tl"], "frac_coords": [[0.5103, 0.7500, 0.2477], [0.0103, 0.7500, 0.2523], [0.9897, 0.2500, 0.7477], [0.4897, 0.2500, 0.7523], [0.7578, 0.2500, 0.2295], [0.2578, 0.2500, 0.2705], [0.7422, 0.7500, 0.7295], [0.2422, 0.7500, 0.7705], [0.5854, 0.2500, 0.1192], [0.9354, 0.2500, 0.1230], [0.2591, 0.7500, 0.1729], [0.7591, 0.7500, 0.3271], [0.4354, 0.2500, 0.3770], [0.0854, 0.2500, 0.3808], [0.9146, 0.7500, 0.6192], [0.5646, 0.7500, 0.6230], [0.2409, 0.2500, 0.6729], [0.7409, 0.2500, 0.8271], [0.0646, 0.7500, 0.8770], [0.4146, 0.7500, 0.8808], [0.2336, 0.2500, 0.0012], [0.7336, 0.2500, 0.4988], [0.2664, 0.7500, 0.5012], [0.7664, 0.7500, 0.9988]], "total_energy_ev_per_atom": -4.29, "space_group": "No. 62", "polymorph_energy_mev_per_atom": 20.2}